Density functional theory data (PBE) for a relaxed structure of RbAuO3.

abc: 5.7875 5.7875 5.7875
angles: 61.29 61.29 61.29
Positions (direct):
Rb1 0.2500 0.2500 0.2500
Rb2 0.7500 0.7500 0.7500
Au1 0.0000 0.0000 0.0000
Au2 0.5000 0.5000 0.5000
O1 0.1970 0.7500 0.3030
O2 0.2500 0.6970 0.8030
O3 0.3030 0.1970 0.7500
O4 0.6970 0.8030 0.2500
O5 0.7500 0.3030 0.1970
O6 0.8030 0.2500 0.6970

Calculated values
**Electronic total energy**: -3.91 eV/atom